# 1
Density functional theory data (PBE-GGA) for an optimized crystal structure of Pm6TeRh3.

Calculated values
V	28.833	Å³ per atom

Lattice parameters (Å, degrees): 12.003 4.172 12.117 90.00 108.14 90.00
Atoms (fractional coordinates):
Pm  0.033  0.250  0.402
Pm  0.116  0.250  0.969
Pm  0.195  0.750  0.266
Pm  0.256  0.750  0.782
Pm  0.355  0.250  0.554
Pm  0.433  0.750  0.101
Pm  0.567  0.250  0.899
Pm  0.645  0.750  0.446
Pm  0.744  0.250  0.218
Pm  0.805  0.250  0.734
Pm  0.884  0.750  0.031
Pm  0.967  0.750  0.598
Te  0.430  0.250  0.320
Te  0.570  0.750  0.680
Rh  0.023  0.250  0.169
Rh  0.185  0.750  0.512
Rh  0.345  0.250  0.935
Rh  0.655  0.750  0.065
Rh  0.815  0.250  0.488
Rh  0.977  0.750  0.831

---

# 2
Density functional theory data (PBE-GGA) for an optimized crystal structure of BaScZn2.

Calculated values
V	28.438	Å³ per atom
E above lowest polymorph	65	meV/atom

Lattice parameters (Å, degrees): 4.573 4.573 6.809 109.54 109.54 59.99
Atoms (fractional coordinates):
Ba  0.000  0.000  0.000
Sc  0.814  0.814  0.442
Zn  0.197  0.197  0.593
Zn  0.528  0.528  0.586

---

# 3
Density functional theory data (PBE-GGA) for an optimized crystal structure of LaHgTeI2.

Calculated values
V	53.471	Å³ per atom
E above lowest polymorph	549	meV/atom

Lattice parameters (Å, degrees): 6.766 6.766 5.839 90.00 90.00 90.00
Atoms (fractional coordinates):
La  0.000  0.000  0.000
Hg  0.500  0.500  0.000
Te  0.000  0.000  0.500
I  0.000  0.500  0.500
I  0.500  0.000  0.500

---

# 4
Density functional theory data (PBE-GGA) for an optimized crystal structure of V2MoW2.

Calculated values
V	15.503	Å³ per atom
E above lowest polymorph	8	meV/atom

Lattice parameters (Å, degrees): 5.253 5.253 9.965 90.00 90.00 145.67
Atoms (fractional coordinates):
V  0.074  0.926  0.500
V  0.263  0.737  0.868
V  0.737  0.263  0.368
V  0.926  0.074  0.000
Mo  0.323  0.677  0.176
Mo  0.677  0.323  0.676
W  0.028  0.972  0.265
W  0.368  0.632  0.559
W  0.632  0.368  0.059
W  0.972  0.028  0.765

---

# 5
Density functional theory data (PBE-GGA) for an optimized crystal structure of ScBrCl.

Calculated values
V	25.797	Å³ per atom

Lattice parameters (Å, degrees): 4.783 4.783 4.783 60.00 60.00 60.00
Atoms (fractional coordinates):
Sc  0.000  0.000  0.000
Br  0.500  0.500  0.500
Cl  0.750  0.750  0.750

---

# 6
Density functional theory data (PBE-GGA) for an optimized crystal structure of PaTi2Tl.

Calculated values
V	20.087	Å³ per atom
E above lowest polymorph	0	meV/atom

Lattice parameters (Å, degrees): 4.736 4.736 3.583 90.00 90.00 90.00
Atoms (fractional coordinates):
Pa  0.000  0.000  0.000
Ti  0.000  0.500  0.500
Ti  0.500  0.000  0.500
Tl  0.500  0.500  0.000

---

# 7
Density functional theory data (PBE-GGA) for an optimized crystal structure of InOsPb2O6.

Calculated values
V	13.841	Å³ per atom

Lattice parameters (Å, degrees): 5.825 5.806 10.019 90.00 125.22 90.00
Atoms (fractional coordinates):
In  0.000  0.000  0.000
In  0.000  0.500  0.500
Os  0.500  0.000  0.500
Os  0.500  0.500  0.000
Pb  0.260  0.026  0.751
Pb  0.260  0.474  0.251
Pb  0.740  0.526  0.749
Pb  0.740  0.974  0.249
O  0.187  0.014  0.263
O  0.187  0.486  0.763
O  0.275  0.708  0.042
O  0.275  0.792  0.542
O  0.338  0.230  0.042
O  0.338  0.270  0.542
O  0.662  0.730  0.458
O  0.662  0.770  0.958
O  0.725  0.208  0.458
O  0.725  0.292  0.958
O  0.813  0.514  0.237
O  0.813  0.986  0.737

---

# 8
Density functional theory data (PBE-GGA) for an optimized crystal structure of Y6Er2Cd.

Calculated values
V	30.895	Å³ per atom

Lattice parameters (Å, degrees): 10.163 10.209 5.360 90.00 90.00 90.00
Atoms (fractional coordinates):
Y  0.035  0.179  0.000
Y  0.129  0.625  0.500
Y  0.179  0.959  0.500
Y  0.321  0.459  0.000
Y  0.371  0.125  0.000
Y  0.465  0.679  0.500
Y  0.535  0.321  0.500
Y  0.629  0.875  0.000
Y  0.679  0.541  0.000
Y  0.821  0.041  0.500
Y  0.871  0.375  0.500
Y  0.965  0.821  0.000
Er  0.209  0.285  0.500
Er  0.291  0.785  0.000
Er  0.709  0.215  0.000
Er  0.791  0.715  0.500
Cd  0.000  0.500  0.000
Cd  0.500  0.000  0.500

---

# 9
Density functional theory data (PBE-GGA) for an optimized crystal structure of YCrBr2.

Calculated values
V	22.407	Å³ per atom
E above lowest polymorph	296	meV/atom

Lattice parameters (Å, degrees): 4.876 4.876 3.770 90.00 90.00 90.00
Atoms (fractional coordinates):
Y  0.000  0.000  0.000
Cr  0.500  0.500  0.000
Br  0.000  0.500  0.500
Br  0.500  0.000  0.500

---

# 10
Density functional theory data (PBE-GGA) for an optimized crystal structure of Y2HfHBr.

Calculated values
V	28.440	Å³ per atom

Lattice parameters (Å, degrees): 5.394 5.394 4.887 90.00 90.00 90.00
Atoms (fractional coordinates):
Y  0.000  0.500  0.000
Y  0.500  0.000  0.000
Hf  0.000  0.000  0.500
H  0.500  0.500  0.500
Br  0.000  0.000  0.000

---

# 11
Density functional theory data (PBE-GGA) for an optimized crystal structure of Zr3MnOs.

Calculated values
V	25.177	Å³ per atom
E above lowest polymorph	359	meV/atom

Lattice parameters (Å, degrees): 5.012 5.012 5.012 90.00 90.00 90.00
Atoms (fractional coordinates):
Zr  0.000  0.000  0.500
Zr  0.000  0.500  0.000
Zr  0.500  0.000  0.000
Mn  0.500  0.500  0.500
Os  0.000  0.000  0.000

---

# 12
Density functional theory data (PBE-GGA) for an optimized crystal structure of PmTmHgPb.

Calculated values
V	27.412	Å³ per atom
E above lowest polymorph	11	meV/atom

Lattice parameters (Å, degrees): 5.372 5.372 5.372 60.00 60.00 60.00
Atoms (fractional coordinates):
Pm  0.000  0.000  0.000
Tm  0.500  0.500  0.500
Hg  0.250  0.250  0.250
Pb  0.750  0.750  0.750

---

# 13
Density functional theory data (PBE-GGA) for an optimized crystal structure of Er5Sb2Pt.

Calculated values
V	35.691	Å³ per atom

Lattice parameters (Å, degrees): 8.112 8.112 13.546 90.00 90.00 140.16
Atoms (fractional coordinates):
Er  0.075  0.925  0.616
Er  0.075  0.925  0.884
Er  0.279  0.721  0.250
Er  0.297  0.703  0.563
Er  0.297  0.703  0.937
Er  0.703  0.297  0.063
Er  0.703  0.297  0.437
Er  0.721  0.279  0.750
Er  0.925  0.075  0.116
Er  0.925  0.075  0.384
Sb  0.125  0.875  0.096
Sb  0.125  0.875  0.404
Sb  0.875  0.125  0.596
Sb  0.875  0.125  0.904
Pt  0.207  0.793  0.750
Pt  0.793  0.207  0.250

---

# 14
Density functional theory data (PBE-GGA) for an optimized crystal structure of Sr2RuSe.

Calculated values
V	31.228	Å³ per atom

Lattice parameters (Å, degrees): 4.429 4.429 6.368 90.00 90.00 90.00
Atoms (fractional coordinates):
Sr  0.000  0.000  0.000
Sr  0.500  0.500  0.499
Ru  0.000  0.000  0.500
Se  0.500  0.500  0.999

---

# 15
Density functional theory data (PBE-GGA) for an optimized crystal structure of Pr12Rh3O5.

Calculated values
V	24.940	Å³ per atom

Lattice parameters (Å, degrees): 13.736 13.736 13.736 109.47 109.47 109.47
Atoms (fractional coordinates):
Pr  0.023  0.207  0.118
Pr  0.023  0.316  0.905
Pr  0.089  0.707  0.684
Pr  0.089  0.882  0.405
Pr  0.095  0.618  0.411
Pr  0.095  0.977  0.684
Pr  0.118  0.023  0.207
Pr  0.118  0.595  0.911
Pr  0.184  0.207  0.589
Pr  0.184  0.477  0.595
Pr  0.207  0.118  0.023
Pr  0.207  0.589  0.184
Pr  0.293  0.316  0.911
Pr  0.293  0.477  0.382
Pr  0.316  0.905  0.023
Pr  0.316  0.911  0.293
Pr  0.382  0.293  0.477
Pr  0.382  0.589  0.905
Pr  0.405  0.089  0.882
Pr  0.405  0.816  0.523
Pr  0.411  0.095  0.618
Pr  0.411  0.816  0.793
Pr  0.477  0.382  0.293
Pr  0.477  0.595  0.184
Pr  0.523  0.405  0.816
Pr  0.523  0.618  0.707
Pr  0.589  0.184  0.207
Pr  0.589  0.905  0.382
Pr  0.595  0.184  0.477
Pr  0.595  0.911  0.118
Pr  0.618  0.411  0.095
Pr  0.618  0.707  0.523
Pr  0.684  0.089  0.707
Pr  0.684  0.095  0.977
Pr  0.707  0.523  0.618
Pr  0.707  0.684  0.089
Pr  0.793  0.411  0.816
Pr  0.793  0.882  0.977
Pr  0.816  0.523  0.405
Pr  0.816  0.793  0.411
Pr  0.882  0.405  0.089
Pr  0.882  0.977  0.793
Pr  0.905  0.023  0.316
Pr  0.905  0.382  0.589
Pr  0.911  0.118  0.595
Pr  0.911  0.293  0.316
Pr  0.977  0.684  0.095
Pr  0.977  0.793  0.882
Rh  0.125  0.250  0.375
Rh  0.125  0.375  0.750
Rh  0.250  0.375  0.125
Rh  0.250  0.875  0.625
Rh  0.375  0.125  0.250
Rh  0.375  0.750  0.125
Rh  0.625  0.250  0.875
Rh  0.625  0.875  0.750
Rh  0.750  0.125  0.375
Rh  0.750  0.625  0.875
Rh  0.875  0.625  0.250
Rh  0.875  0.750  0.625
O  0.000  0.000  0.000
O  0.000  0.000  0.500
O  0.000  0.500  0.000
O  0.000  0.500  0.500
O  0.125  0.750  0.875
O  0.125  0.875  0.250
O  0.250  0.125  0.875
O  0.250  0.625  0.375
O  0.375  0.250  0.625
O  0.375  0.625  0.750
O  0.500  0.000  0.000
O  0.500  0.000  0.500
O  0.500  0.500  0.000
O  0.500  0.500  0.500
O  0.625  0.375  0.250
O  0.625  0.750  0.375
O  0.750  0.375  0.625
O  0.750  0.875  0.125
O  0.875  0.125  0.750
O  0.875  0.250  0.125

---

# 16
Density functional theory data (PBE-GGA) for an optimized crystal structure of Ag3Se2.

Calculated values
V	21.677	Å³ per atom
E above lowest polymorph	19	meV/atom

Lattice parameters (Å, degrees): 4.677 4.677 5.722 90.00 90.00 120.00
Atoms (fractional coordinates):
Ag  0.000  0.000  0.000
Ag  0.333  0.667  0.299
Ag  0.667  0.333  0.701
Se  0.333  0.667  0.775
Se  0.667  0.333  0.225

---

# 17
Density functional theory data (PBE-GGA) for an optimized crystal structure of AlZnCl2.

Calculated values
V	21.667	Å³ per atom
E above lowest polymorph	274	meV/atom

Lattice parameters (Å, degrees): 3.170 3.170 8.622 90.00 90.00 90.00
Atoms (fractional coordinates):
Al  0.000  0.000  0.000
Zn  0.500  0.500  0.775
Cl  0.000  0.000  0.611
Cl  0.500  0.500  0.182

---

# 18
Density functional theory data (PBE-GGA) for an optimized crystal structure of TlTe2Os.

Calculated values
V	23.428	Å³ per atom
E above lowest polymorph	952	meV/atom

Lattice parameters (Å, degrees): 4.519 4.519 4.590 90.00 90.00 90.00
Atoms (fractional coordinates):
Tl  0.000  0.000  0.000
Te  0.000  0.500  0.500
Te  0.500  0.000  0.500
Os  0.500  0.500  0.000

---

# 19
Density functional theory data (PBE-GGA) for an optimized crystal structure of AlFeSb2.

Calculated values
V	20.251	Å³ per atom

Lattice parameters (Å, degrees): 4.790 4.790 3.530 90.00 90.00 90.00
Atoms (fractional coordinates):
Al  0.000  0.000  0.000
Fe  0.500  0.500  0.000
Sb  0.000  0.500  0.500
Sb  0.500  0.000  0.500

---

# 20
Density functional theory data (PBE-GGA) for an optimized crystal structure of AcGaAu4.

Calculated values
V	22.005	Å³ per atom
E above lowest polymorph	0	meV/atom

Lattice parameters (Å, degrees): 8.648 8.648 7.015 90.00 90.00 149.78
Atoms (fractional coordinates):
Ac  0.114  0.886  0.750
Ac  0.886  0.114  0.250
Ga  0.235  0.765  0.250
Ga  0.765  0.235  0.750
Au  0.075  0.925  0.250
Au  0.326  0.674  0.551
Au  0.326  0.674  0.949
Au  0.500  0.500  0.000
Au  0.500  0.500  0.500
Au  0.674  0.326  0.051
Au  0.674  0.326  0.449
Au  0.925  0.075  0.750

---

Q: Which size of the total moment values were calculated for the entries above? A: 0.000 0.909 0.000 0.000 1.002 0.000 6.017 0.063 4.367 0.000 0.544 0.000 1.264 2.005 0.002 0.000 0.000 0.000 2.787 0.000, in μB/cell.
Q: Which energy values were calculated for the entries above? A: -6.106 -2.822 -2.517 -10.702 -3.969 -6.837 -6.237 -5.429 -5.143 -4.750 -8.203 -3.755 -5.128 -4.262 -6.683 -3.097 -2.593 -3.907 -4.686 -3.868, in eV per atom.